No. 1
GGA+U BaV3O8, optimized geometry; polymorph energy (0 for the lowest one) = 0.051 eV per atom; total magnetic moment = 0.083 μB per atom
1.0
4.9917 0.0000 1.2659
2.3353 4.4117 1.2659
0.6333 0.3813 7.9777
Ba V O
1 3 8
Cartesian
3.9802 2.3965 5.2547 Ba
5.9031 3.5543 8.1468 V
2.0572 1.2387 2.3626 V
0.0000 0.0000 0.0000 V
6.3154 3.8026 6.5209 O
5.1613 1.9609 8.1896 O
1.6449 0.9904 3.9885 O
2.4550 0.4465 7.2721 O
5.5053 4.3465 3.2373 O
2.4342 3.6442 7.7551 O
5.5261 1.1488 2.7544 O
2.7991 2.8321 2.3198 O

***

No. 2
GGA+U BaV4O8, optimized geometry; polymorph energy (0 for the lowest one) = 0.235 eV per atom; total magnetic moment = 0.462 μB per atom
1.0
-4.3440 2.0759 -3.0250
2.4138 -4.9243 -1.5017
-5.3415 -4.0997 4.8573
Ba V O
1 4 8
Cartesian
0.0000 0.0000 0.0000 Ba
-3.9790 -5.7685 1.7554 V
-6.2316 -3.4351 1.2476 V
-1.0402 -3.5130 -0.9170 V
-3.2928 -1.1796 -1.4248 V
-4.5941 -4.0227 1.8951 O
-6.6584 -1.6661 1.6141 O
-2.3560 -6.1228 2.5838 O
-2.6776 -2.9254 -1.5645 O
-0.5717 -2.9012 0.7718 O
-3.0271 -0.3576 0.2183 O
0.1612 -2.5909 -2.0095 O
-2.0914 -0.2575 -2.5172 O

***

No. 3
GGA+U BaVO3, optimized geometry; energy = -7.157 eV per atom; total magnetic moment = 0.200 μB per atom
1.0
6.0205 0.0000 0.0000
0.0000 7.3464 0.5145
0.0000 -3.2053 6.6303
Ba V O
4 4 12
Cartesian
4.5144 3.3979 2.8030 Ba
1.5062 0.7432 4.3417 Ba
1.5041 6.0190 1.2838 Ba
4.5164 -1.8779 5.8609 Ba
1.5051 2.0773 1.1823 V
4.5154 2.0638 5.9625 V
4.5154 -0.0067 2.3901 V
1.5051 4.1478 4.7546 V
0.0001 1.0361 1.7878 O
6.0204 3.1050 5.3569 O
3.0103 1.0344 1.7845 O
3.0102 3.1067 5.3602 O
1.5080 3.0670 2.9948 O
4.5125 1.0741 4.1499 O
4.5182 6.3499 1.0920 O
1.5023 -2.2088 6.0527 O
4.5154 -1.4993 3.2553 O
1.5051 5.6404 3.8895 O
1.5051 3.5699 0.3171 O
4.5154 0.5712 6.8276 O

***

No. 4
GGA+U BaV4O8, optimized geometry; polymorph energy (0 for the lowest one) = 0.000 eV per atom; total magnetic moment = 0.462 μB per atom
1.0
5.7675 0.1289 -1.3451
-3.2672 4.7480 -1.3683
0.1190 0.0371 7.0676
Ba V O
1 4 8
Cartesian
-1.5741 2.3925 2.8497 Ba
0.6234 1.2160 -0.6766 V
1.8769 3.6609 -2.0369 V
-0.9890 3.6824 -1.1842 V
3.6083 1.2315 5.5384 V
3.9318 0.1081 0.2324 O
-0.6360 2.3191 0.2756 O
2.2309 2.4238 -0.4793 O
0.8947 0.0750 0.9592 O
1.7247 4.8390 3.3950 O
0.3885 2.4901 4.8335 O
3.2554 2.5948 4.0786 O
-1.3125 4.8059 4.1218 O

***

No. 5
GGA+U BaVO3, optimized geometry; energy = -4.754 eV per atom; total magnetic moment = 0.799 μB per atom
1.0
4.6353 0.0000 0.0000
0.0000 4.6353 0.0000
0.0000 0.0000 4.6353
Ba O V
1 3 1
Cartesian
0.0000 0.0000 0.0000 Ba
0.0000 2.3176 0.0000 O
0.0000 0.0000 2.3176 O
2.3176 0.0000 0.0000 O
2.3176 2.3176 2.3176 V

***

No. 6
GGA+U BaV2O, optimized geometry; energy = -5.684 eV per atom; total magnetic moment = 1.484 μB per atom
1.0
-0.1412 -1.5967 6.3114
4.7802 -4.3112 -0.9837
5.4470 0.3094 3.5594
Ba O V
2 2 4
Cartesian
0.0000 0.0000 0.0000 Ba
3.8126 -2.1206 6.2674 Ba
2.3195 -2.9539 2.6639 O
6.2733 -3.4778 2.6198 O
1.9063 -1.0603 3.1336 V
4.2964 -3.2159 2.6419 V
7.0199 -3.0612 4.4215 V
6.9492 -3.8595 7.5773 V

***

No. 7
GGA+U BaVO3, optimized geometry; energy = -7.216 eV per atom; total magnetic moment = 0.200 μB per atom
1.0
-2.7399 -1.4712 -2.5161
1.9956 -3.4639 -0.1477
-2.1244 -1.3563 3.1064
Ba O V
1 3 1
Cartesian
-1.4344 -3.1457 0.2213 Ba
0.9978 -1.7319 -0.0738 O
-1.0622 -0.6782 1.5532 O
-1.3700 -0.7356 -1.2580 O
0.0000 0.0000 0.0000 V

***

No. 8
GGA+U BaV2O2, optimized geometry; polymorph energy (0 for the lowest one) = 0.472 eV per atom; total magnetic moment = 1.273 μB per atom
1.0
7.3300 0.0000 0.0000
0.0000 7.3300 0.0000
0.0000 0.0000 3.1510
Ba O V
2 4 4
Cartesian
0.0000 0.0000 0.0000 Ba
3.6650 3.6650 0.0000 Ba
2.7546 6.4197 0.0000 O
6.4197 4.5754 0.0000 O
4.5754 0.9104 0.0000 O
0.9104 2.7546 0.0000 O
0.8235 4.4885 1.5755 V
4.4885 6.5065 1.5755 V
6.5065 2.8415 1.5755 V
2.8415 0.8235 1.5755 V

***

No. 9
GGA+U BaV3O, optimized geometry; energy = -5.257 eV per atom; total magnetic moment = 1.982 μB per atom
1.0
-2.9149 -0.7464 -3.6299
-2.6591 -2.7953 2.7102
-2.5811 3.7227 1.3072
Ba O V
1 1 3
Cartesian
-4.0776 0.0905 0.1937 Ba
0.0000 0.0000 0.0000 O
-1.3296 -1.3976 1.3551 V
-1.2906 1.8614 0.6536 V
-1.4574 -0.3732 -1.8149 V

***

No. 10
GGA+U Ba12V4O19, optimized geometry; energy = -6.635 eV per atom; total magnetic moment = 0.171 μB per atom
1.0
-1.1807 7.3082 2.9498
2.7830 -3.4643 6.6151
9.7459 2.6685 -2.6967
Ba V O
12 4 19
Cartesian
4.7138 5.8660 2.5461 Ba
1.7412 -0.6329 5.6517 Ba
-0.1389 4.4768 3.9132 Ba
6.6344 0.6463 4.3221 Ba
3.3340 2.8664 4.8192 Ba
7.5394 2.3043 -1.3809 Ba
8.0143 3.6460 2.0489 Ba
3.8089 4.2081 8.2491 Ba
10.2506 5.3559 4.6563 Ba
4.5760 2.1336 1.3223 Ba
1.0977 1.1565 2.2119 Ba
6.7722 4.3788 5.5459 Ba
1.8914 4.3366 0.7983 V
7.4753 7.5614 4.2375 V
3.8730 -1.0490 2.6307 V
9.4569 2.1757 6.0699 V
5.0182 -0.6465 6.3967 O
7.7278 5.9956 3.2778 O
2.4223 3.7729 2.4825 O
9.0765 -0.3052 3.0110 O
4.4190 5.6032 5.7513 O
8.4258 5.0309 -0.4885 O
1.6891 4.8334 6.2163 O
5.7409 4.1389 0.0180 O
3.6204 0.5167 3.5904 O
6.3301 7.1589 0.4715 O
2.2717 6.8176 3.8571 O
8.9259 2.7395 4.3857 O
2.9224 1.4815 7.3567 O
6.9292 0.9092 1.1169 O
5.6074 2.3735 6.8502 O
9.6592 1.6790 0.6519 O
0.8012 1.9220 4.7824 O
0.0000 0.0000 0.0000 O
5.6741 3.2562 3.4341 O

***

No. 11
GGA+U BaV6O11, optimized geometry; energy = -7.784 eV per atom; total magnetic moment = 0.556 μB per atom
1.0
5.8941 0.0000 0.0000
-2.9471 5.1660 0.0000
0.0000 0.0000 13.5414
Ba V O
2 12 22
Cartesian
0.0000 3.4890 10.1808 Ba
2.9471 1.6770 3.4101 Ba
0.0000 3.4065 3.4402 V
2.9471 1.7595 10.2109 V
2.9471 5.1506 8.7889 V
0.0000 0.0154 2.0182 V
0.0000 0.0594 11.6228 V
2.9471 5.1066 4.8521 V
4.3567 2.5863 0.0561 V
2.9471 0.0137 6.7930 V
1.4096 2.5798 6.8268 V
1.5374 2.5863 0.0561 V
0.0000 5.1523 0.0223 V
-1.4096 2.5798 6.8268 V
0.0000 3.3713 1.1424 O
2.9471 1.7947 7.9131 O
0.0000 3.4241 5.6417 O
2.9471 1.7419 12.4124 O
1.6194 4.4063 3.4432 O
2.9471 3.6879 10.2334 O
4.5665 0.7597 10.2139 O
-1.6194 4.4063 3.4432 O
0.0000 1.4782 3.4627 O
1.3276 0.7597 10.2139 O
1.4040 4.2473 7.8704 O
2.9471 3.3878 1.1787 O
4.3511 0.9187 1.0997 O
-1.4040 4.2473 7.8704 O
1.4819 0.9269 5.7169 O
0.0000 1.6825 12.4861 O
-1.4651 4.2391 12.4876 O
4.4122 0.9269 5.7169 O
2.9471 3.4835 5.7154 O
1.4651 4.2391 12.4876 O
1.5430 0.9187 1.0997 O
0.0000 1.7782 7.9494 O

***

No. 12
GGA+U Ba5V5O14, optimized geometry; energy = -7.248 eV per atom; total magnetic moment = 0.292 μB per atom
1.0
5.8821 0.0000 0.0000
-2.9411 5.0941 0.0000
0.0000 0.0000 12.2775
O V Ba
14 5 5
Cartesian
4.5362 0.7771 4.8712 O
2.9410 3.5399 4.8712 O
1.3459 0.7771 4.8712 O
1.5951 4.3170 7.4064 O
0.0000 1.5541 7.4064 O
-1.5951 4.3170 7.4064 O
4.3814 0.8664 10.0447 O
2.9410 3.3612 10.0447 O
1.5007 0.8664 10.0447 O
1.4404 4.2276 2.2329 O
0.0000 3.3960 12.1524 O
2.9410 1.6980 0.1251 O
0.0000 1.7328 2.2329 O
-1.4404 4.2276 2.2329 O
0.0000 0.0000 6.1388 V
2.9410 1.6980 10.6841 V
0.0000 3.3960 1.5934 V
0.0000 0.0000 3.5064 V
0.0000 0.0000 8.7711 V
2.9410 1.6980 6.9677 Ba
0.0000 3.3960 5.3098 Ba
2.9410 1.6980 2.9557 Ba
0.0000 3.3960 9.3218 Ba
0.0000 0.0000 0.0000 Ba